No. 1
A plane-wave DFT calculation with PBE-GGA was carried out for Cs2InPb7 after structural relaxation.

Cell: 5.266 5.266 14.097 Å, 90.00 90.00 90.00°
Sites, in units of the cell vectors:
1 Cs 0.000 0.500 0.247
2 Cs 0.500 0.000 0.753
3 In 0.500 0.500 0.000
4 Pb 0.000 0.000 0.000
5 Pb 0.000 0.000 0.500
6 Pb 0.000 0.500 0.633
7 Pb 0.000 0.500 0.871
8 Pb 0.500 0.000 0.129
9 Pb 0.500 0.000 0.367
10 Pb 0.500 0.500 0.500

Computed properties:
Its theoretical density is 7.8 g/cm3. The space group is No. 115. The value obtained for the raw total energy is -3.15 eV per atom. The value obtained for the total magnetization is 0.00 μB/f.u. Its calculated formation energy is -111 meV per atom.

***

No. 2
A plane-wave DFT calculation with PBE-GGA was carried out for Cs2In3Pb4 after structural relaxation.

Cell: 10.016 8.435 7.211 Å, 79.18 55.82 45.00°
Sites, in units of the cell vectors:
1 Cs 0.132 0.132 0.868
2 Cs 0.868 0.868 0.132
3 In 0.000 0.000 0.500
4 In 0.500 0.500 0.000
5 In 0.500 0.500 0.500
6 Pb 0.161 0.516 0.484
7 Pb 0.484 0.839 0.161
8 Pb 0.516 0.161 0.839
9 Pb 0.839 0.484 0.516

Computed properties:
Its theoretical density is 7.2 g/cm3. The space group is No. 69. The value obtained for the raw total energy is -2.76 eV per atom. The value obtained for the total magnetization is 0.00 μB/f.u. Its calculated formation energy is -8 meV per atom.

***

No. 3
A plane-wave DFT calculation with PBE-GGA was carried out for CsInPb after structural relaxation.

Cell: 4.533 8.102 8.732 Å, 117.59 105.00 90.01°
Sites, in units of the cell vectors:
1 Cs 0.170 0.170 0.340
2 Cs 0.830 0.830 0.660
3 In 0.111 0.612 0.223
4 In 0.889 0.388 0.777
5 Pb 0.499 0.695 0.999
6 Pb 0.501 0.305 0.001

Computed properties:
Its theoretical density is 5.6 g/cm3. The space group is No. 2. The value obtained for the raw total energy is -2.59 eV per atom. The value obtained for the total magnetization is 0.00 μB/f.u. Its calculated formation energy is -156 meV per atom.

***

No. 4
A plane-wave DFT calculation with PBE-GGA was carried out for Cs2InPb2 after structural relaxation.

Cell: 11.183 11.183 3.702 Å, 90.00 90.00 90.00°
Sites, in units of the cell vectors:
1 Cs 0.201 0.299 0.000
2 Cs 0.299 0.799 0.000
3 Cs 0.701 0.201 0.000
4 Cs 0.799 0.701 0.000
5 In 0.000 0.000 0.500
6 In 0.500 0.500 0.500
7 Pb 0.095 0.595 0.500
8 Pb 0.405 0.095 0.500
9 Pb 0.595 0.905 0.500
10 Pb 0.905 0.405 0.500

Computed properties:
Its theoretical density is 5.7 g/cm3. The space group is No. 127. As for the energy above the most stable polymorph in this dataset: 269 meV per atom. The value obtained for the raw total energy is -2.23 eV per atom. The value obtained for the total magnetization is 0.00 μB/f.u. Its calculated formation energy is 141 meV per atom.

***

No. 5
A plane-wave DFT calculation with PBE-GGA was carried out for Cs2In7Pb after structural relaxation.

Cell: 5.184 5.184 12.799 Å, 90.00 90.00 90.00°
Sites, in units of the cell vectors:
1 Cs 0.000 0.500 0.248
2 Cs 0.500 0.000 0.752
3 In 0.000 0.000 0.000
4 In 0.000 0.500 0.636
5 In 0.000 0.500 0.871
6 In 0.500 0.000 0.129
7 In 0.500 0.000 0.364
8 In 0.500 0.500 0.000
9 In 0.500 0.500 0.500
10 Pb 0.000 0.000 0.500

Computed properties:
Its theoretical density is 6.2 g/cm3. The space group is No. 115. The value obtained for the raw total energy is -2.58 eV per atom. The value obtained for the total magnetization is 0.00 μB/f.u. Its calculated formation energy is -122 meV per atom.

***

No. 6
A plane-wave DFT calculation with PBE-GGA was carried out for CsInPb after structural relaxation.

Cell: 7.045 4.622 16.663 Å, 90.00 90.00 90.00°
Sites, in units of the cell vectors:
1 Cs 0.105 0.250 0.160
2 Cs 0.395 0.750 0.660
3 Cs 0.605 0.250 0.340
4 Cs 0.895 0.750 0.840
5 In 0.103 0.750 0.359
6 In 0.397 0.250 0.859
7 In 0.603 0.750 0.141
8 In 0.897 0.250 0.641
9 Pb 0.162 0.250 0.492
10 Pb 0.338 0.750 0.992
11 Pb 0.662 0.250 0.008
12 Pb 0.838 0.750 0.508

Computed properties:
Its theoretical density is 5.6 g/cm3. The space group is No. 62. The value obtained for the raw total energy is -2.53 eV per atom. The value obtained for the total magnetization is 0.00 μB/f.u. Its calculated formation energy is -92 meV per atom.

***

No. 7
A plane-wave DFT calculation with PBE-GGA was carried out for CsIn4Pb12 after structural relaxation.

Cell: 9.207 9.207 9.207 Å, 109.47 109.47 109.47°
Sites, in units of the cell vectors:
1 Cs 0.000 0.000 0.000
2 In 0.000 0.000 0.500
3 In 0.000 0.500 0.000
4 In 0.500 0.000 0.000
5 In 0.500 0.500 0.500
6 Pb 0.152 0.355 0.507
7 Pb 0.152 0.645 0.797
8 Pb 0.203 0.848 0.355
9 Pb 0.355 0.203 0.848
10 Pb 0.355 0.507 0.152
11 Pb 0.493 0.848 0.645
12 Pb 0.507 0.152 0.355
13 Pb 0.645 0.493 0.848
14 Pb 0.645 0.797 0.152
15 Pb 0.797 0.152 0.645
16 Pb 0.848 0.355 0.203
17 Pb 0.848 0.645 0.493

Computed properties:
Its theoretical density is 8.5 g/cm3. The space group is No. 204. The value obtained for the raw total energy is -3.20 eV per atom. The value obtained for the total magnetization is 0.00 μB/f.u. Its calculated formation energy is 108 meV per atom.

***

No. 8
A plane-wave DFT calculation with PBE-GGA was carried out for Cs3In5Pb2 after structural relaxation.

Cell: 10.946 10.946 10.946 Å, 114.61 81.71 136.69°
Sites, in units of the cell vectors:
1 Cs 0.122 0.748 0.871
2 Cs 0.250 0.250 0.000
3 Cs 0.378 0.248 0.626
4 Cs 0.622 0.752 0.374
5 Cs 0.750 0.750 0.000
6 Cs 0.878 0.252 0.129
7 In 0.017 0.750 0.267
8 In 0.119 0.378 0.497
9 In 0.250 0.750 0.500
10 In 0.381 0.878 0.258
11 In 0.483 0.750 0.733
12 In 0.517 0.250 0.267
13 In 0.619 0.122 0.742
14 In 0.750 0.250 0.500
15 In 0.881 0.622 0.503
16 In 0.983 0.250 0.733
17 Pb 0.166 0.130 0.296
18 Pb 0.334 0.630 0.964
19 Pb 0.666 0.370 0.036
20 Pb 0.834 0.870 0.704

Computed properties:
Its theoretical density is 5.8 g/cm3. The space group is No. 72. The value obtained for the raw total energy is -2.44 eV per atom. The value obtained for the total magnetization is 0.00 μB/f.u. Its calculated formation energy is -69 meV per atom.

***

No. 9
A plane-wave DFT calculation with PBE-GGA was carried out for Cs2InPb2 after structural relaxation.

Cell: 8.782 8.782 8.782 Å, 141.42 141.42 55.70°
Sites, in units of the cell vectors:
1 Cs 0.250 0.750 0.500
2 Cs 0.750 0.250 0.500
3 In 0.000 0.000 0.000
4 Pb 0.411 0.411 0.000
5 Pb 0.589 0.589 0.000

Computed properties:
Its theoretical density is 5.1 g/cm3. The space group is No. 139. As for the energy above the most stable polymorph in this dataset: 356 meV per atom. The value obtained for the raw total energy is -2.14 eV per atom. The value obtained for the total magnetization is 0.00 μB/f.u. Its calculated formation energy is 228 meV per atom.

***

No. 10
A plane-wave DFT calculation with PBE-GGA was carried out for CsInPb after structural relaxation.

Cell: 14.557 6.217 5.673 Å, 90.00 90.00 90.00°
Sites, in units of the cell vectors:
1 Cs 0.220 0.250 0.001
2 Cs 0.280 0.750 0.501
3 Cs 0.720 0.250 0.499
4 Cs 0.780 0.750 0.999
5 In 0.000 0.000 0.500
6 In 0.000 0.500 0.500
7 In 0.500 0.000 0.000
8 In 0.500 0.500 0.000
9 Pb 0.051 0.750 0.000
10 Pb 0.449 0.250 0.500
11 Pb 0.551 0.750 0.500
12 Pb 0.949 0.250 0.000

Computed properties:
Its theoretical density is 5.9 g/cm3. The space group is No. 62. The value obtained for the raw total energy is -2.50 eV per atom. The value obtained for the total magnetization is 0.00 μB/f.u. Its calculated formation energy is -71 meV per atom.

***

No. 11
A plane-wave DFT calculation with PBE-GGA was carried out for Cs5In2Pb4 after structural relaxation.

Cell: 13.213 13.213 10.926 Å, 114.41 114.41 18.09°
Sites, in units of the cell vectors:
1 Cs 0.000 0.000 0.000
2 Cs 0.339 0.339 0.054
3 Cs 0.339 0.339 0.624
4 Cs 0.661 0.661 0.376
5 Cs 0.661 0.661 0.946
6 In 0.076 0.076 0.576
7 In 0.924 0.924 0.424
8 Pb 0.203 0.203 0.703
9 Pb 0.500 0.500 0.345
10 Pb 0.500 0.500 0.655
11 Pb 0.797 0.797 0.297

Computed properties:
Its theoretical density is 5.3 g/cm3. The space group is No. 12. The value obtained for the raw total energy is -2.27 eV per atom. The value obtained for the total magnetization is 0.00 μB/f.u. Its calculated formation energy is -37 meV per atom.

***

No. 12
A plane-wave DFT calculation with PBE-GGA was carried out for Cs2In2Pb after structural relaxation.

Cell: 9.158 9.158 9.158 Å, 148.06 148.06 45.79°
Sites, in units of the cell vectors:
1 Cs 0.250 0.750 0.500
2 Cs 0.750 0.250 0.500
3 In 0.084 0.084 0.000
4 In 0.916 0.916 0.000
5 Pb 0.500 0.500 0.000

Computed properties:
Its theoretical density is 5.4 g/cm3. The space group is No. 139. As for the energy above the most stable polymorph in this dataset: 406 meV per atom. The value obtained for the raw total energy is -1.92 eV per atom. The value obtained for the total magnetization is 0.00 μB/f.u. Its calculated formation energy is 258 meV per atom.

***

No. 13
A plane-wave DFT calculation with PBE-GGA was carried out for Cs3InPb4 after structural relaxation.

Cell: 7.541 14.736 6.788 Å, 90.00 90.00 90.00°
Sites, in units of the cell vectors:
1 Cs 0.250 0.007 0.183
2 Cs 0.250 0.250 0.547
3 Cs 0.250 0.493 0.183
4 Cs 0.750 0.507 0.817
5 Cs 0.750 0.750 0.453
6 Cs 0.750 0.993 0.817
7 In 0.250 0.750 0.309
8 In 0.750 0.250 0.691
9 Pb 0.003 0.250 0.041
10 Pb 0.250 0.633 0.685
11 Pb 0.250 0.867 0.685
12 Pb 0.497 0.250 0.041
13 Pb 0.503 0.750 0.959
14 Pb 0.750 0.133 0.315
15 Pb 0.750 0.367 0.315
16 Pb 0.997 0.750 0.959

Computed properties:
Its theoretical density is 5.9 g/cm3. The space group is No. 59. The value obtained for the raw total energy is -2.70 eV per atom. The value obtained for the total magnetization is 0.00 μB/f.u. Its calculated formation energy is -181 meV per atom.

***

No. 14
A plane-wave DFT calculation with PBE-GGA was carried out for Cs2Rb4InPb2 after structural relaxation.

Cell: 9.518 9.518 6.754 Å, 105.57 105.57 58.08°
Sites, in units of the cell vectors:
1 Cs 0.140 0.140 0.207
2 Cs 0.860 0.860 0.793
3 Rb 0.147 0.592 0.309
4 Rb 0.408 0.853 0.691
5 Rb 0.592 0.147 0.309
6 Rb 0.853 0.408 0.691
7 In 0.500 0.500 0.000
8 Pb 0.323 0.323 0.774
9 Pb 0.677 0.677 0.226

Computed properties:
Its theoretical density is 3.8 g/cm3. The space group is No. 12. The value obtained for the raw total energy is -1.82 eV per atom. The value obtained for the total magnetization is 0.83 μB/f.u. Its calculated formation energy is -73 meV per atom.

***

No. 15
A plane-wave DFT calculation with PBE-GGA was carried out for CsInRhPb2 after structural relaxation.

Cell: 5.490 5.490 5.339 Å, 90.00 90.00 90.00°
Sites, in units of the cell vectors:
1 Cs 0.000 0.000 0.000
2 In 0.500 0.500 0.000
3 Rh 0.500 0.500 0.500
4 Pb 0.000 0.500 0.500
5 Pb 0.500 0.000 0.500

Computed properties:
Its theoretical density is 7.9 g/cm3. The space group is No. 123. The value obtained for the raw total energy is -3.65 eV per atom. The value obtained for the total magnetization is 0.00 μB/f.u. Its calculated formation energy is 21 meV per atom.

***

No. 16
A plane-wave DFT calculation with PBE-GGA was carried out for CsIn2RhPb after structural relaxation.

Cell: 5.312 5.312 5.471 Å, 90.00 90.00 90.00°
Sites, in units of the cell vectors:
1 Cs 0.000 0.000 0.000
2 In 0.000 0.500 0.500
3 In 0.500 0.000 0.500
4 Rh 0.500 0.500 0.500
5 Pb 0.500 0.500 0.000

Computed properties:
Its theoretical density is 7.2 g/cm3. The space group is No. 123. The value obtained for the raw total energy is -3.57 eV per atom. The value obtained for the total magnetization is 0.00 μB/f.u. Its calculated formation energy is -88 meV per atom.

***

No. 17
A plane-wave DFT calculation with PBE-GGA was carried out for CsInPb2S4 after structural relaxation.

Cell: 8.762 8.762 8.762 Å, 122.10 120.04 88.16°
Sites, in units of the cell vectors:
1 Cs 0.500 0.000 0.000
2 Cs 0.500 0.500 0.500
3 In 0.000 0.000 0.000
4 In 0.500 0.000 0.500
5 Pb 0.000 0.000 0.500
6 Pb 0.000 0.500 0.000
7 Pb 0.000 0.500 0.500
8 Pb 0.500 0.500 0.000
9 S 0.168 0.195 0.973
10 S 0.237 0.249 0.511
11 S 0.237 0.726 0.989
12 S 0.278 0.805 0.473
13 S 0.722 0.195 0.527
14 S 0.763 0.274 0.011
15 S 0.763 0.751 0.489
16 S 0.832 0.805 0.027

Computed properties:
Its theoretical density is 5.6 g/cm3. The space group is No. 74. The value obtained for the raw total energy is -3.93 eV per atom. The value obtained for the total magnetization is 0.00 μB/f.u.

***

No. 18
A plane-wave DFT calculation with PBE-GGA was carried out for Cs2InSb2Pb after structural relaxation.

Cell: 10.075 10.075 10.075 Å, 133.61 67.03 134.47°
Sites, in units of the cell vectors:
1 Cs 0.170 0.243 0.413
2 Cs 0.330 0.743 0.073
3 Cs 0.670 0.257 0.927
4 Cs 0.830 0.757 0.587
5 In 0.250 0.250 0.000
6 In 0.750 0.750 0.000
7 Sb 0.088 0.764 0.852
8 Sb 0.412 0.264 0.676
9 Sb 0.588 0.736 0.324
10 Sb 0.912 0.236 0.148
11 Pb 0.250 0.750 0.500
12 Pb 0.750 0.250 0.500

Computed properties:
Its theoretical density is 5.3 g/cm3. The space group is No. 72. The value obtained for the raw total energy is -3.07 eV per atom. The value obtained for the total magnetization is 0.00 μB/f.u.

***

No. 19
A plane-wave DFT calculation with PBE-GGA was carried out for CsInSb2Pb after structural relaxation.

Cell: 9.134 9.134 12.803 Å, 125.53 125.53 30.57°
Sites, in units of the cell vectors:
1 Cs 0.182 0.182 0.125
2 Cs 0.818 0.818 0.875
3 In 0.042 0.042 0.680
4 In 0.958 0.958 0.320
5 Sb 0.156 0.156 0.583
6 Sb 0.439 0.439 0.175
7 Sb 0.561 0.561 0.825
8 Sb 0.844 0.844 0.417
9 Pb 0.351 0.351 0.575
10 Pb 0.649 0.649 0.425

Computed properties:
Its theoretical density is 5.3 g/cm3. The space group is No. 12. The value obtained for the raw total energy is -3.32 eV per atom. The value obtained for the total magnetization is 0.00 μB/f.u.

***

No. 20
A plane-wave DFT calculation with PBE-GGA was carried out for CsInPbSe3 after structural relaxation.

Cell: 10.264 4.416 11.131 Å, 90.00 105.00 90.00°
Sites, in units of the cell vectors:
1 Cs 0.188 0.250 0.193
2 Cs 0.812 0.750 0.807
3 In 0.090 0.250 0.626
4 In 0.910 0.750 0.374
5 Pb 0.367 0.750 0.877
6 Pb 0.633 0.250 0.123
7 Se 0.118 0.250 0.855
8 Se 0.169 0.750 0.518
9 Se 0.439 0.750 0.139
10 Se 0.561 0.250 0.861
11 Se 0.831 0.250 0.482
12 Se 0.882 0.750 0.145

Computed properties:
Its theoretical density is 4.7 g/cm3. The space group is No. 11. The value obtained for the raw total energy is -3.69 eV per atom. The value obtained for the total magnetization is 0.00 μB/f.u.